1.
# FeOsAu2 GGA-PBE relaxed
data_FeOsAu2
_chemical_formula_sum 'Fe1 Os1 Au2'
_symmetry_space_group_name_H-M 'P 1 m 1'
_symmetry_Int_Tables_number 6
_cell_length_a 2.782
_cell_length_b 3.663
_cell_length_c 6.189
_cell_angle_alpha 90.00
_cell_angle_beta 90.02
_cell_angle_gamma 90.00
loop_
_symmetry_equiv_pos_as_xyz
'x,y,z'
'x,-y,z'
loop_
_atom_site_label
_atom_site_fract_x
_atom_site_fract_y
_atom_site_fract_z
_atom_site_occupancy
Fe1 0.000 0.000 0.000 1
Os1 0.497 0.500 0.178 1
Au1 0.499 0.500 0.734 1
Au2 0.998 0.000 0.449 1
# - Calculated formation energy: 380 meV/atom
# - DFT total energy: -6.1817 eV per atom

2.
# SrTe3Se GGA-PBE relaxed
data_SrTe3Se
_chemical_formula_sum 'Sr1 Te3 Se1'
_symmetry_space_group_name_H-M 'P m -3 m'
_symmetry_Int_Tables_number 221
_symmetry_space_group_name_Hall '-P 4 2 3'
_cell_length_a 5.542
_cell_length_b 5.542
_cell_length_c 5.542
_cell_angle_alpha 90.00
_cell_angle_beta 90.00
_cell_angle_gamma 90.00
loop_
_atom_site_label
_atom_site_fract_x
_atom_site_fract_y
_atom_site_fract_z
_atom_site_occupancy
Sr1 0.000 0.000 0.000 1
Te1 0.000 0.500 0.500 1
Se1 0.500 0.500 0.500 1
# - DFT total energy: -3.3087 eV per atom
# - Formation energy (no corrections): -188 kJ/mol of formula units

3.
# AcDyAg3 GGA-PBE relaxed
data_AcDyAg3
_chemical_formula_sum 'Ac4 Dy4 Ag12'
_symmetry_space_group_name_H-M 'C m c m'
_symmetry_Int_Tables_number 63
_symmetry_space_group_name_Hall '-C 2c 2'
_cell_length_a 3.879
_cell_length_b 28.150
_cell_length_c 4.829
_cell_angle_alpha 90.00
_cell_angle_beta 90.00
_cell_angle_gamma 90.00
loop_
_atom_site_label
_atom_site_fract_x
_atom_site_fract_y
_atom_site_fract_z
_atom_site_occupancy
Ac1 0.000 0.077 0.250 1
Dy1 0.000 0.209 0.750 1
Ag1 0.000 0.317 0.750 1
Ag2 0.000 0.375 0.250 1
Ag3 0.000 0.475 0.250 1
# - Calculated formation energy: -278 meV/atom
# - DFT total energy: -3.7311 eV per atom

4.
# K2ZnAsCl GGA-PBE relaxed
data_K2ZnAsCl
_chemical_formula_sum 'K2 Zn1 As1 Cl1'
_symmetry_space_group_name_H-M 'P 4/m m m'
_symmetry_Int_Tables_number 123
_symmetry_space_group_name_Hall '-P 4 2'
_cell_length_a 6.452
_cell_length_b 6.452
_cell_length_c 4.475
_cell_angle_alpha 90.00
_cell_angle_beta 90.00
_cell_angle_gamma 90.00
loop_
_atom_site_label
_atom_site_fract_x
_atom_site_fract_y
_atom_site_fract_z
_atom_site_occupancy
K1 0.000 0.500 0.000 1
Zn1 0.000 0.000 0.500 1
As1 0.000 0.000 0.000 1
Cl1 0.500 0.500 0.500 1
# - DFT total energy: -2.6943 eV per atom
# - Formation energy (no corrections): -338 kJ/mol of formula units

5.
# Ca6ZnGa2 GGA-PBE relaxed
data_Ca6ZnGa2
_chemical_formula_sum 'Ca24 Zn4 Ga8'
_symmetry_space_group_name_H-M 'I m m m'
_symmetry_Int_Tables_number 71
_symmetry_space_group_name_Hall '-I 2 2'
_cell_length_a 10.018
_cell_length_b 10.223
_cell_length_c 11.045
_cell_angle_alpha 90.00
_cell_angle_beta 90.00
_cell_angle_gamma 90.00
loop_
_atom_site_label
_atom_site_fract_x
_atom_site_fract_y
_atom_site_fract_z
_atom_site_occupancy
Ca1 0.000 0.192 0.249 1
Ca2 0.188 0.500 0.165 1
Ca3 0.228 0.323 0.500 1
Zn1 0.000 0.000 0.000 1
Zn2 0.000 0.000 0.500 1
Ga1 0.000 0.330 0.000 1
Ga2 0.000 0.500 0.384 1
# - Calculated formation energy: -246 meV/atom
# - DFT total energy: -2.3941 eV per atom

6.
# Hf2PaNb GGA-PBE relaxed
data_Hf2PaNb
_chemical_formula_sum 'Hf2 Pa1 Nb1'
_symmetry_space_group_name_H-M 'P 4/m m m'
_symmetry_Int_Tables_number 123
_symmetry_space_group_name_Hall '-P 4 2'
_cell_length_a 3.458
_cell_length_b 3.458
_cell_length_c 7.317
_cell_angle_alpha 90.00
_cell_angle_beta 90.00
_cell_angle_gamma 90.00
loop_
_atom_site_label
_atom_site_fract_x
_atom_site_fract_y
_atom_site_fract_z
_atom_site_occupancy
Hf1 0.000 0.000 0.224 1
Pa1 0.500 0.500 0.500 1
Nb1 0.500 0.500 0.000 1
# - Calculated formation energy: 146 meV/atom
# - DFT total energy: -9.7221 eV per atom

- DFT total energy of number 2 (SrTe3Se)?
  -3.3087 eV per atom

- Among the records above, which one has the highest DFT total energy?
  Ca6ZnGa2

- DFT total energy of number 4 (K2ZnAsCl)?
  -2.6943 eV per atom

- Among the records above, which one has the highest DFT total energy?
  Ca6ZnGa2